Compound: NaUF6
Source: the Alexandria database
Functional: PBEsol
Structure: optimized geometry

calculated volume = 20.7 A^3/atom
crystal system = cubic
formation energy from raw total energies = -27.078 eV per formula unit

a = 6.1629 Å, b = 6.1629 Å, c = 6.1629 Å
α = 60.00°, β = 60.00°, γ = 60.00°
Element x y z (fractional)
F  0.7624  0.7624  0.2376
F  0.2376  0.7624  0.7624
F  0.2376  0.2376  0.7624
F  0.7624  0.2376  0.7624
F  0.7624  0.2376  0.2376
F  0.2376  0.7624  0.2376
U  0.0000  0.0000  0.0000
Na  0.5000  0.5000  0.5000


Compound: CsScSe2
Source: the Alexandria database
Functional: PBEsol
Structure: optimized geometry

Fermi-level density of states = 0.0 states/eV/cell
calculated volume = 36.2 A^3/atom
crystal system = tetragonal
formation energy from raw total energies = -5.825 eV per formula unit

a = 7.3036 Å, b = 7.3036 Å, c = 7.3036 Å
α = 96.85°, β = 116.12°, γ = 116.12°
Element x y z (fractional)
Cs  0.5000  0.7500  0.2500
Cs  0.0000  0.0000  0.0000
Sc  0.0000  0.5000  0.5000
Sc  0.5000  0.2500  0.7500
Se  0.8951  0.5201  0.1250
Se  0.3951  0.8750  0.7701
Se  0.6049  0.3750  0.4799
Se  0.1049  0.2299  0.6250


Compound: Li2CuAu
Source: the Alexandria database
Functional: PBEsol
Structure: optimized geometry

energy = -3.326 eV per atom
Fermi-level density of states = 1.2 states/eV/cell
calculated volume = 13.4 A^3/atom
crystal system = tetragonal

a = 3.7584 Å, b = 3.7584 Å, c = 4.6246 Å
α = 113.98°, β = 113.98°, γ = 90.00°
Element x y z (fractional)
Au  0.0000  0.0000  0.0000
Li  0.7500  0.2500  0.5000
Li  0.2500  0.7500  0.5000
Cu  0.5000  0.5000  0.0000


Compound: NaCrMo2P
Source: the Alexandria database
Functional: PBEsol
Structure: optimized geometry

energy = -6.636 eV per atom
Fermi-level density of states = 4.7 states/eV/cell
calculated volume = 18.4 A^3/atom
crystal system = tetragonal

a = 4.3423 Å, b = 4.3423 Å, c = 4.8905 Å
α = 90.00°, β = 90.00°, γ = 90.00°
Element x y z (fractional)
Mo  0.5000  0.0000  0.0000
Mo  0.0000  0.5000  0.0000
Na  0.0000  0.0000  0.5000
Cr  0.0000  0.0000  0.0000
P  0.5000  0.5000  0.5000


Compound: Sc2CrP
Source: the Alexandria database
Functional: PBEsol
Structure: optimized geometry

energy = -7.509 eV per atom
Fermi-level density of states = 2.2 states/eV/cell
calculated volume = 17.8 A^3/atom
crystal system = tetragonal

a = 3.6182 Å, b = 3.6182 Å, c = 5.4436 Å
α = 90.00°, β = 90.00°, γ = 90.00°
Element x y z (fractional)
P  0.5000  0.5000  0.7797
Sc  0.5000  0.5000  0.2795
Sc  0.0000  0.0000  0.9589
Cr  0.0000  0.0000  0.4819


Compound: CaAlH2
Source: the Alexandria database
Functional: PBEsol
Structure: optimized geometry

Fermi-level density of states = 2.5 states/eV/cell
calculated volume = 12.7 A^3/atom
crystal system = cubic
offset from the most stable computed form = 178 meV/atom

a = 4.1566 Å, b = 4.1566 Å, c = 4.1566 Å
α = 60.00°, β = 60.00°, γ = 60.00°
Element x y z (fractional)
H  0.7500  0.7500  0.7500
H  0.2500  0.2500  0.2500
Ca  0.5000  0.5000  0.5000
Al  0.0000  0.0000  0.0000


Compound: BeSiRh2
Source: the Alexandria database
Functional: PBEsol
Structure: optimized geometry

Fermi-level density of states = 3.1 states/eV/cell
calculated volume = 12.1 A^3/atom
crystal system = trigonal
formation energy from raw total energies = -1.879 eV per formula unit
offset from the most stable computed form = 407 meV/atom

a = 2.7980 Å, b = 2.7980 Å, c = 7.3087 Å
α = 78.96°, β = 78.96°, γ = 60.00°
Element x y z (fractional)
Si  0.5000  0.5000  0.5000
Rh  0.2523  0.2523  0.2430
Rh  0.7477  0.7477  0.7570
Be  0.0000  0.0000  0.0000


Compound: Mg5Pd
Source: the Alexandria database
Functional: PBEsol
Structure: optimized geometry

energy = -2.646 eV per atom
Fermi-level density of states = 2.3 states/eV/cell
calculated volume = 19.2 A^3/atom
crystal system = hexagonal

a = 4.8000 Å, b = 5.2700 Å, c = 5.2700 Å
α = 120.00°, β = 90.00°, γ = 90.00°
Element x y z (fractional)
Mg  0.5000  0.3333  0.6667
Mg  0.0000  0.3137  0.0000
Mg  0.5000  0.6667  0.3333
Mg  0.0000  0.0000  0.3137
Mg  0.0000  0.6863  0.6863
Pd  0.5000  0.0000  0.0000


Compound: ScTl
Source: the Alexandria database
Functional: PBEsol
Structure: optimized geometry

energy = -4.942 eV per atom
Fermi-level density of states = 5.6 states/eV/cell
calculated volume = 22.6 A^3/atom
crystal system = orthorhombic

a = 4.8464 Å, b = 6.0074 Å, c = 6.2165 Å
α = 90.00°, β = 90.00°, γ = 90.00°
Element x y z (fractional)
Tl  0.7500  0.1330  0.6127
Tl  0.2500  0.8670  0.3873
Tl  0.7500  0.3670  0.1127
Tl  0.2500  0.6330  0.8873
Sc  0.2500  0.3651  0.3760
Sc  0.2500  0.1349  0.8760
Sc  0.7500  0.6349  0.6240
Sc  0.7500  0.8651  0.1240


Compound: MnBeCo
Source: the Alexandria database
Functional: PBEsol
Structure: optimized geometry

Fermi-level density of states = 2.9 states/eV/cell
calculated volume = 9.3 A^3/atom
crystal system = orthorhombic
offset from the most stable computed form = 84 meV/atom

a = 2.4122 Å, b = 3.2748 Å, c = 4.0673 Å
α = 113.74°, β = 107.25°, γ = 90.00°
Element x y z (fractional)
Mn  0.3335  0.3335  0.6670
Be  0.0025  0.0025  0.0051
Co  0.6640  0.6640  0.3279


Compound: IrPtRh
Source: the Alexandria database
Functional: PBEsol
Structure: optimized geometry

Fermi-level density of states = 4.7 states/eV/cell
calculated volume = 14.5 A^3/atom
crystal system = hexagonal
offset from the most stable computed form = 284 meV/atom

a = 2.6486 Å, b = 4.3513 Å, c = 4.3513 Å
α = 120.00°, β = 90.00°, γ = 90.00°
Element x y z (fractional)
Ir  0.0002  0.0000  0.0000
Rh  0.5000  0.6667  0.3333
Pt  0.4997  0.3333  0.6667


Compound: CuAsSe2Cl
Source: the Alexandria database
Functional: PBEsol
Structure: optimized geometry

Fermi-level density of states = 6.7 states/eV/cell
calculated volume = 22.6 A^3/atom
crystal system = tetragonal
formation energy from raw total energies = 6.064 eV per formula unit

a = 4.8649 Å, b = 4.8211 Å, c = 4.8211 Å
α = 90.00°, β = 90.00°, γ = 90.00°
Element x y z (fractional)
Cl  0.0000  0.0000  0.0000
Se  0.0000  0.5000  0.0000
Se  0.0000  0.0000  0.5000
Cu  0.5000  0.5000  0.5000
As  0.5000  0.0000  0.0000


Compound: RbOsIO2
Source: the Alexandria database
Functional: PBEsol
Structure: optimized geometry

Fermi-level density of states = 5.1 states/eV/cell
calculated volume = 22.6 A^3/atom
crystal system = tetragonal
formation energy from raw total energies = 8.852 eV per formula unit
offset from the most stable computed form = 2068 meV/atom

a = 4.1191 Å, b = 4.1191 Å, c = 6.6652 Å
α = 90.00°, β = 90.00°, γ = 90.00°
Element x y z (fractional)
Os  0.5000  0.5000  0.5000
I  0.0000  0.0000  0.5000
O  0.0000  0.5000  0.0000
O  0.5000  0.0000  0.0000
Rb  0.0000  0.0000  0.0000


Compound: CdCu2Br
Source: the Alexandria database
Functional: PBEsol
Structure: optimized geometry

Fermi-level density of states = 3.2 states/eV/cell
calculated volume = 17.9 A^3/atom
crystal system = cubic
formation energy from raw total energies = 2.432 eV per formula unit
offset from the most stable computed form = 531 meV/atom

a = 4.6572 Å, b = 4.6572 Å, c = 4.6572 Å
α = 60.00°, β = 60.00°, γ = 60.00°
Element x y z (fractional)
Cu  0.7500  0.7500  0.7500
Cu  0.0000  0.0000  0.0000
Br  0.5000  0.5000  0.5000
Cd  0.2500  0.2500  0.2500


Compound: AgSbIr
Source: the Alexandria database
Functional: PBEsol
Structure: optimized geometry

Fermi-level density of states = 1.5 states/eV/cell
calculated volume = 18.6 A^3/atom
crystal system = orthorhombic
formation energy from raw total energies = 1.382 eV per formula unit
offset from the most stable computed form = 141 meV/atom

a = 2.9566 Å, b = 2.9566 Å, c = 7.4005 Å
α = 96.01°, β = 96.01°, γ = 118.41°
Element x y z (fractional)
Ag  0.0114  0.0114  0.0228
Ir  0.6695  0.6695  0.3391
Sb  0.3191  0.3191  0.6382


Compound: Li2FeMo
Source: the Alexandria database
Functional: PBEsol
Structure: optimized geometry

Fermi-level density of states = 3.0 states/eV/cell
calculated volume = 13.6 A^3/atom
crystal system = monoclinic
offset from the most stable computed form = 0 meV/atom

a = 2.4680 Å, b = 4.0691 Å, c = 5.4937 Å
α = 90.00°, β = 99.18°, γ = 90.00°
Element x y z (fractional)
Li  0.0304  0.0000  0.0079
Li  0.7739  0.5000  0.2316
Mo  0.4903  0.0000  0.5412
Fe  0.2054  0.5000  0.7193


Compound: LaGeSeN2
Source: the Alexandria database
Functional: PBEsol
Structure: optimized geometry

Fermi-level density of states = 1.7 states/eV/cell
calculated volume = 21.0 A^3/atom
crystal system = tetragonal
formation energy from raw total energies = 3.282 eV per formula unit

a = 4.1361 Å, b = 4.1361 Å, c = 6.1260 Å
α = 90.00°, β = 90.00°, γ = 90.00°
Element x y z (fractional)
N  0.5000  0.0000  0.0000
N  0.0000  0.5000  0.0000
Ge  0.5000  0.5000  0.5000
Se  0.0000  0.0000  0.5000
La  0.0000  0.0000  0.0000


Compound: ZrIn2Pt
Source: the Alexandria database
Functional: PBEsol
Structure: optimized geometry

energy = -5.720 eV per atom
Fermi-level density of states = 3.1 states/eV/cell
calculated volume = 20.0 A^3/atom
crystal system = trigonal

a = 3.1647 Å, b = 3.1647 Å, c = 9.3870 Å
α = 80.30°, β = 80.30°, γ = 60.00°
Element x y z (fractional)
In  0.2425  0.2425  0.2724
In  0.7575  0.7575  0.7276
Pt  0.5000  0.5000  0.5000
Zr  0.0000  0.0000  0.0000


Compound: ZnCrGe2O6
Source: the Alexandria database
Functional: PBEsol
Structure: optimized geometry

Fermi-level density of states = 5.3 states/eV/cell
calculated volume = 11.1 A^3/atom
crystal system = monoclinic
formation energy from raw total energies = -15.323 eV per formula unit
offset from the most stable computed form = 59 meV/atom

a = 5.2294 Å, b = 6.5933 Å, c = 6.5933 Å
α = 85.25°, β = 81.95°, γ = 81.95°
Element x y z (fractional)
O  0.1024  0.2908  0.4336
O  0.6200  0.1339  0.6357
O  0.3976  0.5664  0.7092
O  0.1200  0.6357  0.1339
O  0.6227  0.8047  0.9714
O  0.1227  0.9714  0.8047
O  0.3800  0.8661  0.3643
O  0.3773  0.1953  0.0286
O  0.6024  0.4336  0.2908
O  0.8800  0.3643  0.8661
O  0.8773  0.0286  0.1953
O  0.8976  0.7092  0.5664
Ge  0.7064  0.6025  0.7941
Ge  0.2064  0.7941  0.6025
Ge  0.7936  0.2059  0.3975
Ge  0.2936  0.3975  0.2059
Zn  0.2500  0.2748  0.7252
Zn  0.7500  0.7252  0.2748
Cr  0.7500  0.0916  0.9084
Cr  0.2500  0.9084  0.0916


Compound: Y2HgBr
Source: the Alexandria database
Functional: PBEsol
Structure: optimized geometry

Fermi-level density of states = 3.5 states/eV/cell
calculated volume = 24.7 A^3/atom
crystal system = orthorhombic
formation energy from raw total energies = -2.660 eV per formula unit
offset from the most stable computed form = 181 meV/atom

a = 4.5745 Å, b = 5.2821 Å, c = 5.2821 Å
α = 64.25°, β = 64.34°, γ = 64.34°
Element x y z (fractional)
Br  0.5000  0.0000  0.0000
Y  0.2382  0.7618  0.7618
Y  0.7618  0.2382  0.2382
Hg  0.0000  0.5000  0.5000